Ac6PrSn2, optimized geometry, DFT PBE-GGA; total energy = -4.370 eV/atom; magnetization = 0.00 μB/f.u.; Fermi-level density of states = 1.34 states/eV per atom
1.0
10.525 -6.156 0.000
10.525 6.156 0.000
-0.003 0.000 5.648
Ac Pr Sn
12 2 4
Cartesian
1.805 1.028 1.401
5.400 1.362 1.404
1.804 -1.028 4.224
8.442 1.319 4.230
5.398 -1.362 4.228
12.604 1.319 4.241
8.443 -1.319 1.407
15.648 1.362 1.420
12.605 -1.319 1.417
19.243 1.028 1.423
15.647 -1.362 4.244
19.242 -1.028 4.247
10.524 2.978 1.412
10.523 -2.978 4.236
7.254 4.084 1.422
13.794 4.084 1.401
7.253 -4.084 4.246
13.793 -4.084 4.225